Entry from Alexandria: a relaxed CaAgSe2Br crystal (PBE-GGA).

abc: 5.5756 5.5756 5.5461
angles: 90.00 90.00 90.00
Last column: nearest neighbours and their distance in Å.
Space group P4/mmm (No. 123)
One atom of each set of equivalent atoms:
Ca: 0.0000 0.0000 0.0000 (multiplicity 1)  2 Br 2.77, 4 Se 2.79
Ag: 0.5000 0.5000 0.5000 (multiplicity 1)  8 Se 3.93, 4 Br 3.94
Se: 0.0000 0.5000 0.0000 (multiplicity 2)  2 Ca 2.79
Br: 0.0000 0.0000 0.5000 (multiplicity 1)  2 Ca 2.77

Uncorrected energy: -2.874 eV per atom
Raw formation energy: -0.18 eV/atom
Crystal system: tetragonal

---

Entry from Alexandria: a relaxed CaAgSeBr2 crystal (PBE-GGA).

abc: 5.5618 5.5618 5.7177
angles: 90.00 90.00 90.00
Last column: nearest neighbours and their distance in Å.
Space group P4/mmm (No. 123)
One atom of each set of equivalent atoms:
Ca: 0.0000 0.0000 0.0000 (multiplicity 1)  4 Br 2.78, 2 Se 2.86
Ag: 0.5000 0.5000 0.5000 (multiplicity 1)  4 Se 3.93, 8 Br 3.99
Se: 0.0000 0.0000 0.5000 (multiplicity 1)  2 Ca 2.86
Br: 0.0000 0.5000 0.0000 (multiplicity 2)  2 Ca 2.78

Uncorrected energy: -2.883 eV per atom
Raw formation energy: -0.55 eV/atom
Crystal system: tetragonal

---

Entry from Alexandria: a relaxed CaAgSe2Br crystal (PBE-GGA).

abc: 5.1018 5.1018 5.3267
angles: 90.00 90.00 90.00
Last column: nearest neighbours and their distance in Å.
Space group P4/mmm (No. 123)
One atom of each set of equivalent atoms:
Ca: 0.0000 0.0000 0.0000 (multiplicity 1)  4 Br 3.61, 8 Se 3.69
Ag: 0.5000 0.5000 0.5000 (multiplicity 1)  4 Se 2.55, 2 Br 2.66
Se: 0.0000 0.5000 0.5000 (multiplicity 2)  2 Ag 2.55
Br: 0.5000 0.5000 0.0000 (multiplicity 1)  2 Ag 2.66

Uncorrected energy: -3.176 eV per atom
Raw formation energy: -0.48 eV/atom
Crystal system: tetragonal

---

Entry from Alexandria: a relaxed CaAgSnBr5 crystal (PBE-GGA).

abc: 9.3796 12.7488 10.5042
angles: 90.00 116.41 90.00
Last column: nearest neighbours and their distance in Å.
Space group C2/c (No. 15)
One atom of each set of equivalent atoms:
Ca: 0.0000 0.0000 0.0000 (multiplicity 4)  6 Br 2.89-2.99
Ag: 0.0000 0.3157 0.2500 (multiplicity 4)  4 Br 2.66-2.72
Sn: 0.0000 0.3652 0.7500 (multiplicity 4)  4 Br 2.92-2.99
Br: 0.0000 0.1083 0.7500 (multiplicity 4)  2 Ca 2.97, 1 Sn 3.28
Br: 0.1567 0.1856 0.1584 (multiplicity 8)  1 Ag 2.66, 1 Ca 2.89
Br: 0.1632 0.4642 0.4476 (multiplicity 8)  1 Ag 2.72, 1 Sn 2.92, 1 Ca 2.99

Uncorrected energy: -3.212 eV per atom
Raw formation energy: -1.06 eV/atom
Crystal system: monoclinic

---

Entry from Alexandria: a relaxed CaTbAgBr6 crystal (PBE-GGA).

abc: 7.2334 7.2334 12.9103
angles: 90.00 90.00 120.00
Last column: nearest neighbours and their distance in Å.
Space group P-31c (No. 163)
One atom of each set of equivalent atoms:
Ca: 0.3333 0.6667 0.2500 (multiplicity 2)  6 Br 2.91
Tb: 0.3333 0.6667 0.7500 (multiplicity 2)  6 Br 2.83
Ag: 0.0000 0.0000 0.0000 (multiplicity 2)  6 Br 2.96
Br: 0.0093 0.3465 0.6260 (multiplicity 12)  1 Tb 2.83, 1 Ca 2.91, 1 Ag 2.96

Uncorrected energy: -3.729 eV per atom
Raw formation energy: -1.56 eV/atom
Crystal system: trigonal

---

Entry from Alexandria: a relaxed Ca2TlAgBr6 crystal (PBE-GGA).

abc: 7.5806 7.5806 20.2093
angles: 90.00 90.00 120.00
Last column: nearest neighbours and their distance in Å.
Space group R3 (No. 146, hexagonal axes)
One atom of each set of equivalent atoms:
Ca: 0.0000 0.0000 0.0000 (multiplicity 3)  6 Br 2.93-2.94
Ca: 0.0000 0.0000 0.4920 (multiplicity 3)  6 Br 2.89-2.96
Tl: 0.0000 0.0000 0.2881 (multiplicity 3)  6 Br 3.22-3.44
Ag: 0.0000 0.0000 0.8024 (multiplicity 3)  6 Br 2.92-3.03
Br: 0.0195 0.3396 0.0753 (multiplicity 9)  1 Ag 2.92, 2 Ca 2.93-2.96
Br: 0.0765 0.7277 0.5711 (multiplicity 9)  2 Ca 2.89-2.94, 1 Ag 3.03, 1 Tl 3.22

Uncorrected energy: -3.355 eV per atom
Raw formation energy: -1.43 eV/atom
Crystal system: trigonal